Entry from Alexandria via LeMat-Bulk: a geometry-optimized Mg2MnNiO4 structure (GGA+U).

The structure in POSCAR format:
```
Mg2MnNiO4
1.0
4.317 0.002 0.000
-0.002 4.317 0.001
-2.158 -2.161 4.312
Mg Mn O Ni
2 1 4 1
Direct
0.000 0.000 0.000
0.250 0.750 0.500
0.750 0.250 0.500
0.751 0.751 0.501
0.009 0.509 0.018
0.249 0.249 0.499
0.491 0.991 0.982
0.500 0.500 0.000
```

Values from the calculation:
Calculated total energy = -0.452 Ry per atom
V = 10.0 Å³/atom
Magnetic moment = 0.87 μB per atom
Space group = I-4m2

Entry from Alexandria via LeMat-Bulk: a geometry-optimized Mg14MnNiO16 structure (GGA+U).

The structure in POSCAR format:
```
Mg14MnNiO16
1.0
8.541 0.000 0.000
0.000 8.541 0.000
0.000 0.000 4.272
Mg O Mn Ni
14 16 1 1
Direct
0.252 0.252 0.000
0.500 0.000 0.000
0.000 0.748 0.500
0.251 0.500 0.500
0.748 0.252 0.000
0.500 0.749 0.500
0.252 0.748 0.000
0.748 0.748 0.000
0.500 0.251 0.500
0.748 0.000 0.500
0.000 0.500 0.000
0.749 0.500 0.500
0.252 0.000 0.500
0.000 0.252 0.500
0.750 0.500 0.000
0.500 0.500 0.500
0.250 0.500 0.000
0.500 0.000 0.500
0.250 0.750 0.500
0.750 0.250 0.500
0.742 0.000 0.000
0.500 0.250 0.000
0.750 0.750 0.500
0.258 0.000 0.000
0.000 0.000 0.500
0.000 0.500 0.500
0.000 0.742 0.000
0.500 0.750 0.000
0.250 0.250 0.500
0.000 0.258 0.000
0.000 0.000 0.000
0.500 0.500 0.000
```

Values from the calculation:
Calculated total energy = -0.443 Ry per atom
V = 9.7 Å³/atom
Magnetic moment = 0.22 μB per atom
Space group = P4/mmm

Entry from Alexandria via LeMat-Bulk: a geometry-optimized Mg30MnNiO32 structure (GGA+U).

The structure in POSCAR format:
```
Mg30MnNiO32
1.0
8.525 0.000 0.000
0.000 8.526 0.000
0.000 0.000 8.526
O Mg Ni Mn
32 30 1 1
Direct
0.250 0.250 0.250
0.000 0.744 0.000
0.500 0.250 0.500
0.256 0.000 0.000
0.749 0.500 0.000
0.750 0.250 0.250
0.000 0.749 0.500
0.000 0.000 0.256
0.750 0.250 0.750
0.500 0.500 0.250
0.500 0.252 0.000
0.500 0.500 0.750
0.000 0.000 0.744
0.000 0.251 0.500
0.000 0.500 0.749
0.250 0.750 0.250
0.251 0.000 0.500
0.500 0.000 0.748
0.750 0.750 0.750
0.744 0.000 0.000
0.250 0.750 0.750
0.000 0.500 0.251
0.749 0.000 0.500
0.250 0.250 0.750
0.750 0.500 0.500
0.500 0.748 0.000
0.000 0.256 0.000
0.500 0.000 0.252
0.250 0.500 0.500
0.750 0.750 0.250
0.251 0.500 0.000
0.500 0.750 0.500
0.250 0.500 0.750
0.250 0.500 0.250
0.500 0.249 0.751
0.000 0.500 0.500
0.749 0.250 0.000
0.750 0.750 0.500
0.500 0.249 0.249
0.251 0.250 0.000
0.251 0.000 0.250
0.750 0.500 0.250
0.000 0.000 0.500
0.000 0.749 0.749
0.750 0.250 0.500
0.750 0.500 0.750
0.251 0.000 0.750
0.250 0.250 0.500
0.500 0.751 0.249
0.000 0.251 0.251
0.250 0.750 0.500
0.749 0.000 0.750
0.500 0.500 0.000
0.000 0.251 0.749
0.000 0.500 0.000
0.251 0.750 0.000
0.500 0.751 0.751
0.500 0.500 0.500
0.500 0.000 0.500
0.000 0.749 0.251
0.749 0.000 0.250
0.749 0.750 0.000
0.500 0.000 0.000
0.000 0.000 0.000
```

Values from the calculation:
Calculated total energy = -0.441 Ry per atom
V = 9.7 Å³/atom
Magnetic moment = 0.11 μB per atom
Space group = P4/mmm